No. 1
This record from Alexandria describes a relaxed KCaRu2 crystal. The functional is GGA-PBE.

a = 4.0065 Å, b = 4.0368 Å, c = 4.9845 Å
α = 90.00°, β = 90.00°, γ = 90.00°
Last column: nearest neighbours and their distance in Å.
Fractional positions:
Ca1 0.5000 0.0000 0.5000  4 K 2.84
K1 0.0000 0.5000 0.5000  4 Ca 2.84
Ru1 0.0000 0.0000 0.0000  4 Ru 2.84
Ru2 0.5000 0.5000 0.0000  4 Ru 2.84

Summary:
N(E_F)   4.56 states/eV/cell
Spin magnetization   1.871 μB per formula unit
Excess energy over the best structure of this formula in the dataset   0.675 eV per atom

---

No. 2
This record from Alexandria describes a relaxed KCaRu2 crystal. The functional is GGA-PBE.

a = 3.8787 Å, b = 3.8787 Å, c = 7.3015 Å
α = 90.00°, β = 90.00°, γ = 90.00°
Last column: nearest neighbours and their distance in Å.
Fractional positions:
Ca1 0.5000 0.5000 0.2500  8 Ru 2.96
K1 0.5000 0.5000 0.7500  2 Ca 3.65, 8 Ru 3.73, 4 K 3.88
Ru1 0.0000 0.0000 0.0962  1 Ru 2.25
Ru2 0.0000 0.0000 0.4038  1 Ru 2.25

Summary:
N(E_F)   5.32 states/eV/cell
Spin magnetization   0.836 μB per formula unit
Excess energy over the best structure of this formula in the dataset   0.583 eV per atom

---

No. 3
This record from Alexandria describes a relaxed KCaRu2 crystal. The functional is GGA-PBE.

a = 4.8648 Å, b = 4.8648 Å, c = 4.8648 Å
α = 60.00°, β = 60.00°, γ = 60.00°
Last column: nearest neighbours and their distance in Å.
Fractional positions:
Ca1 0.5000 0.5000 0.5000  4 K 2.98, 4 Ru 2.98
K1 0.7500 0.7500 0.7500  4 Ca 2.98, 4 Ru 2.98
Ru1 0.0000 0.0000 0.0000  4 Ru 2.98, 4 K 2.98
Ru2 0.2500 0.2500 0.2500  4 Ca 2.98, 4 Ru 2.98

Summary:
N(E_F)   5.79 states/eV/cell
Spin magnetization   1.841 μB per formula unit
Excess energy over the best structure of this formula in the dataset   0.651 eV per atom